<A>
# RbHPdBr

Crystalline RbHPdBr at its relaxed geometry (PBE-GGA, Alexandria). Values from VASP.

Computed properties:
magnetic moment = 0.0 Bohr magnetons per cell
theoretical density = 4.8 g/cm3
space group = Pm
crystal system = monoclinic

```
&SYSTEM
  ibrav = 0, nat = 4, ntyp = 4
/
ATOMIC_SPECIES
Rb 85.47 Rb.upf
H 1.01 H.upf
Pd 106.42 Pd.upf
Br 79.90 Br.upf
CELL_PARAMETERS angstrom
-4.625 -1.825 0.793
1.289 -2.067 2.761
1.372 4.663 2.851
ATOMIC_POSITIONS crystal
Rb 0.852 0.500 0.977
H 0.557 0.500 0.391
Pd 0.564 0.000 0.405
Br 0.129 0.000 0.535
```

***

<B>
# RbHPdBr

Crystalline RbHPdBr at its relaxed geometry (PBE-GGA, Alexandria). Values from VASP.

Computed properties:
magnetic moment = 0.0 Bohr magnetons per cell
theoretical density = 4.5 g/cm3
space group = P1
crystal system = triclinic

```
&SYSTEM
  ibrav = 0, nat = 4, ntyp = 4
/
ATOMIC_SPECIES
Rb 85.47 Rb.upf
H 1.01 H.upf
Pd 106.42 Pd.upf
Br 79.90 Br.upf
CELL_PARAMETERS angstrom
3.351 0.000 -0.002
-0.001 4.807 0.001
-1.640 -0.045 6.283
ATOMIC_POSITIONS crystal
Rb 0.891 0.866 0.861
H 0.756 0.363 0.609
Pd 0.193 0.364 0.480
Br 0.532 0.368 0.151
```

***

Ranked by calculated energy, most stable first: <A>, <B>.